Computed, not measured: an optimized crystal structure of Er4GeSe3 at the PBE level of DFT.

Structure (POSCAR):
```
Er4GeSe3
1.0
5.738 0.000 0.000
0.000 5.738 0.000
0.000 0.000 5.738
Er Ge Se
4 1 3
direct
0.000 0.000 0.000
0.000 0.500 0.500
0.500 0.000 0.500
0.500 0.500 0.000
0.500 0.500 0.500
0.000 0.000 0.500
0.000 0.500 0.000
0.500 0.000 0.000
```

Summary:
crystal system	cubic
V	188.9	Å³/cell



Computed, not measured: an optimized crystal structure of Pm3TlS at the PBE level of DFT.

Structure (POSCAR):
```
Pm3TlS
1.0
5.346 0.000 0.000
0.000 5.346 0.000
0.000 0.000 5.346
Pm Tl S
3 1 1
direct
0.000 0.000 0.500
0.000 0.500 0.000
0.500 0.000 0.000
0.500 0.500 0.500
0.000 0.000 0.000
```

Summary:
crystal system	cubic
V	152.8	Å³/cell
energy above the most stable polymorph in this dataset	134	meV/atom



Q: Which energy relative to the elements, uncorrected values were calculated for the entries above? A: -153.0; -81.8, in kJ/mol of atoms.